Entry 1:
Crystalline Ce2ZnSnPt6 at its relaxed geometry, computed with PBE.

POSCAR file:
```
Ce2ZnSnPt6
1.0
5.954 -2.762 0.000
5.954 2.762 0.000
-4.995 0.000 5.967
Ce Zn Sn Pt
2 1 1 6
Cartesian
-1.195 0.000 1.470
8.109 0.000 4.497
5.954 0.000 0.000
3.457 0.000 2.984
-0.416 1.368 4.162
3.445 0.000 0.338
7.329 1.368 1.806
-0.416 -1.368 4.162
3.469 0.000 5.630
7.329 -1.368 1.806
```

N(E_F): 1.22 states/eV/atom
Raw total energy: -60.54 eV for the cell shown

Entry 2:
Crystalline CeZnSnPt at its relaxed geometry, computed with PBE.

POSCAR file:
```
CeZnSnPt
1.0
0.000 3.461 3.461
3.461 0.000 3.461
3.461 3.461 0.000
Ce Zn Sn Pt
1 1 1 1
Cartesian
0.000 0.000 0.000
5.191 5.191 5.191
3.461 3.461 3.461
1.730 1.730 1.730
```

N(E_F): 0.78 states/eV/atom
Raw total energy: -19.90 eV for the cell shown

Entry 3:
Crystalline Sr2Ce2Pt15 at its relaxed geometry, computed with PBE.

POSCAR file:
```
Sr2Ce2Pt15
1.0
4.738 2.736 4.622
-4.738 2.736 4.622
0.000 -5.471 4.622
Sr Ce Pt
2 2 15
Cartesian
0.000 0.000 1.961
0.000 0.000 11.906
0.000 0.000 5.515
0.000 0.000 8.352
-2.369 -1.368 4.622
0.000 -2.747 4.478
-2.379 1.373 4.478
-1.469 -2.544 6.933
-2.937 0.000 6.933
-2.379 -1.373 9.389
-2.369 1.368 9.244
1.469 -2.544 6.933
0.000 2.736 4.622
-1.469 2.544 6.933
2.379 1.373 4.478
2.937 0.000 6.933
1.469 2.544 6.933
2.379 -1.373 9.389
0.000 2.747 9.389
```

N(E_F): 1.06 states/eV/atom
Raw total energy: -117.81 eV for the cell shown

Entry 4:
Crystalline SrCePt2 at its relaxed geometry, computed with PBE.

POSCAR file:
```
SrCePt2
1.0
2.044 1.180 7.467
-2.044 1.180 7.467
0.000 -2.360 7.467
Sr Ce Pt
1 1 2
Cartesian
0.000 0.000 0.000
0.000 0.000 18.565
0.000 0.000 5.279
0.000 0.000 9.497
```

N(E_F): 1.13 states/eV/atom
Raw total energy: -23.19 eV for the cell shown

Entry 5:
Crystalline SrCePt10 at its relaxed geometry, computed with PBE.

POSCAR file:
```
SrCePt10
1.0
4.426 0.000 0.000
0.000 5.458 0.000
0.000 0.000 9.414
Sr Ce Pt
1 1 10
Cartesian
0.000 0.000 0.000
0.000 2.729 4.707
0.000 0.000 3.173
0.000 0.000 6.241
0.000 2.729 1.630
0.000 2.729 7.784
2.213 0.000 4.707
2.213 1.378 2.393
2.213 1.378 7.021
2.213 2.729 0.000
2.213 4.079 2.393
2.213 4.079 7.021
```

N(E_F): 0.88 states/eV/atom
Raw total energy: -75.76 eV for the cell shown

Entry 6:
Crystalline SrCePt2 at its relaxed geometry, computed with PBE.

POSCAR file:
```
SrCePt2
1.0
0.000 3.618 3.618
3.618 0.000 3.618
3.618 3.618 0.000
Sr Ce Pt
1 1 2
Cartesian
0.000 0.000 0.000
3.618 3.618 3.618
1.809 1.809 1.809
5.427 5.427 5.427
```

N(E_F): 1.90 states/eV/atom
Raw total energy: -23.09 eV for the cell shown

For each record above, in turn, the calculated E_form values are -715; -661; -630; -872; -645; -849 meV/atom.